No. 1
Below is KAl11O17 at its PBEsol-relaxed geometry, with properties calculated at the SCAN level.

Computed properties:
As for the distance to the lowest polymorph of the same formula: 7 meV per atom. As for the symmetry: No. 160. For the density of states at the Fermi level, the calculation gives 0.000 states/eV/f.u. The total moment is 0.0 μB per formula unit. The value obtained for the formation energy without anion corrections is -318.28 kJ/mol of atoms. Its mass density is 3.24 g cm⁻³.

a = 11.868 Å, b = 11.868 Å, c = 11.868 Å
α = 27.35°, β = 27.35°, γ = 27.35°
Positions (direct):
K (0.000, 0.000, 0.000)
Al (0.074, 0.074, 0.575)
Al (0.074, 0.575, 0.074)
Al (0.171, 0.171, 0.171)
Al (0.269, 0.269, 0.764)
Al (0.269, 0.764, 0.269)
Al (0.521, 0.521, 0.521)
Al (0.575, 0.074, 0.074)
Al (0.621, 0.621, 0.621)
Al (0.721, 0.721, 0.721)
Al (0.764, 0.269, 0.269)
Al (0.820, 0.820, 0.820)
O (0.077, 0.077, 0.077)
O (0.077, 0.574, 0.574)
O (0.262, 0.769, 0.769)
O (0.264, 0.264, 0.264)
O (0.360, 0.360, 0.890)
O (0.360, 0.890, 0.360)
O (0.450, 0.982, 0.982)
O (0.468, 0.468, 0.468)
O (0.574, 0.077, 0.574)
O (0.574, 0.574, 0.077)
O (0.671, 0.671, 0.671)
O (0.769, 0.262, 0.769)
O (0.769, 0.769, 0.262)
O (0.874, 0.874, 0.874)
O (0.890, 0.360, 0.360)
O (0.982, 0.450, 0.982)
O (0.982, 0.982, 0.450)

---

No. 2
Below is KAlP2O7 at its PBEsol-relaxed geometry, with properties calculated at the SCAN level.

Computed properties:
As for the symmetry: No. 14. For the density of states at the Fermi level, the calculation gives 0.000 states/eV/f.u. The total moment is 0.0 μB per formula unit. The value obtained for the formation energy without anion corrections is -269.05 kJ/mol of atoms. Its mass density is 2.90 g cm⁻³.

a = 7.347 Å, b = 9.693 Å, c = 8.084 Å
α = 90.00°, β = 107.10°, γ = 90.00°
Positions (direct):
K (0.178, 0.180, 0.057)
K (0.178, 0.320, 0.557)
K (0.822, 0.680, 0.443)
K (0.822, 0.820, 0.943)
Al (0.237, 0.600, 0.261)
Al (0.237, 0.900, 0.761)
Al (0.763, 0.100, 0.239)
Al (0.763, 0.400, 0.739)
P (0.129, 0.596, 0.832)
P (0.129, 0.904, 0.332)
P (0.437, 0.633, 0.690)
P (0.437, 0.867, 0.190)
P (0.563, 0.133, 0.810)
P (0.563, 0.367, 0.310)
P (0.871, 0.096, 0.668)
P (0.871, 0.404, 0.168)
O (0.018, 0.504, 0.278)
O (0.018, 0.996, 0.778)
O (0.086, 0.740, 0.754)
O (0.086, 0.760, 0.254)
O (0.148, 0.592, 0.022)
O (0.148, 0.908, 0.522)
O (0.321, 0.605, 0.504)
O (0.321, 0.895, 0.004)
O (0.330, 0.548, 0.808)
O (0.330, 0.952, 0.308)
O (0.363, 0.072, 0.763)
O (0.363, 0.428, 0.263)
O (0.446, 0.716, 0.247)
O (0.446, 0.784, 0.747)
O (0.554, 0.216, 0.253)
O (0.554, 0.284, 0.753)
O (0.637, 0.572, 0.737)
O (0.637, 0.928, 0.237)
O (0.670, 0.048, 0.692)
O (0.670, 0.452, 0.192)
O (0.679, 0.105, 0.996)
O (0.679, 0.395, 0.496)
O (0.852, 0.092, 0.478)
O (0.852, 0.408, 0.978)
O (0.914, 0.240, 0.746)
O (0.914, 0.260, 0.246)
O (0.982, 0.004, 0.222)
O (0.982, 0.496, 0.722)

---

No. 3
Below is K3Al2P3O12 at its PBEsol-relaxed geometry, with properties calculated at the SCAN level.

Computed properties:
As for the symmetry: No. 33. For the density of states at the Fermi level, the calculation gives 0.000 states/eV/f.u. The total moment is 0.1 μB per formula unit. The value obtained for the formation energy without anion corrections is -268.41 kJ/mol of atoms. Its mass density is 2.43 g cm⁻³.

a = 8.682 Å, b = 16.926 Å, c = 8.489 Å
α = 90.00°, β = 90.00°, γ = 90.00°
Positions (direct):
K (0.010, 0.097, 0.000)
K (0.045, 0.856, 0.028)
K (0.175, 0.491, 0.721)
K (0.325, 0.991, 0.221)
K (0.455, 0.356, 0.528)
K (0.490, 0.597, 0.500)
K (0.510, 0.403, 0.000)
K (0.545, 0.644, 0.028)
K (0.675, 0.009, 0.721)
K (0.825, 0.509, 0.221)
K (0.955, 0.144, 0.528)
K (0.990, 0.903, 0.500)
Al (0.130, 0.332, 0.184)
Al (0.151, 0.660, 0.196)
Al (0.349, 0.160, 0.696)
Al (0.370, 0.832, 0.684)
Al (0.630, 0.168, 0.184)
Al (0.651, 0.840, 0.196)
Al (0.849, 0.340, 0.696)
Al (0.870, 0.668, 0.684)
P (0.158, 0.287, 0.836)
P (0.208, 0.686, 0.829)
P (0.237, 0.998, 0.759)
P (0.263, 0.498, 0.259)
P (0.292, 0.186, 0.329)
P (0.342, 0.787, 0.336)
P (0.658, 0.213, 0.836)
P (0.708, 0.814, 0.829)
P (0.737, 0.502, 0.759)
P (0.763, 0.002, 0.259)
P (0.792, 0.314, 0.329)
P (0.842, 0.713, 0.336)
O (0.029, 0.294, 0.710)
O (0.040, 0.660, 0.793)
O (0.078, 0.294, 0.000)
O (0.089, 0.032, 0.692)
O (0.126, 0.559, 0.231)
O (0.175, 0.130, 0.259)
O (0.213, 0.424, 0.156)
O (0.215, 0.200, 0.829)
O (0.216, 0.847, 0.308)
O (0.223, 0.688, 0.012)
O (0.228, 0.773, 0.776)
O (0.230, 0.975, 0.932)
O (0.270, 0.475, 0.432)
O (0.272, 0.273, 0.276)
O (0.277, 0.188, 0.512)
O (0.284, 0.347, 0.808)
O (0.285, 0.700, 0.329)
O (0.287, 0.924, 0.656)
O (0.325, 0.630, 0.759)
O (0.374, 0.059, 0.731)
O (0.411, 0.532, 0.192)
O (0.422, 0.794, 0.500)
O (0.460, 0.160, 0.293)
O (0.471, 0.794, 0.210)
O (0.529, 0.206, 0.710)
O (0.540, 0.840, 0.793)
O (0.578, 0.206, 0.000)
O (0.589, 0.468, 0.692)
O (0.626, 0.941, 0.231)
O (0.675, 0.370, 0.259)
O (0.713, 0.076, 0.156)
O (0.715, 0.300, 0.829)
O (0.716, 0.653, 0.308)
O (0.723, 0.812, 0.012)
O (0.728, 0.727, 0.776)
O (0.730, 0.525, 0.932)
O (0.770, 0.025, 0.432)
O (0.772, 0.227, 0.276)
O (0.777, 0.312, 0.512)
O (0.784, 0.153, 0.808)
O (0.785, 0.800, 0.329)
O (0.787, 0.576, 0.656)
O (0.825, 0.870, 0.759)
O (0.874, 0.441, 0.731)
O (0.911, 0.968, 0.192)
O (0.922, 0.706, 0.500)
O (0.960, 0.340, 0.293)
O (0.971, 0.706, 0.210)

---

No. 4
Below is K2AlSnP3O12 at its PBEsol-relaxed geometry, with properties calculated at the SCAN level.

Computed properties:
As for the symmetry: No. 198. For the density of states at the Fermi level, the calculation gives 0.000 states/eV/f.u. The total moment is 0.0 μB per formula unit. The value obtained for the formation energy without anion corrections is -249.44 kJ/mol of atoms. Its mass density is 3.55 g cm⁻³.

a = 9.838 Å, b = 9.838 Å, c = 9.838 Å
α = 90.00°, β = 90.00°, γ = 90.00°
Positions (direct):
K (0.047, 0.453, 0.547)
K (0.185, 0.185, 0.185)
K (0.315, 0.815, 0.685)
K (0.453, 0.547, 0.047)
K (0.547, 0.047, 0.453)
K (0.685, 0.315, 0.815)
K (0.815, 0.685, 0.315)
K (0.953, 0.953, 0.953)
Al (0.104, 0.604, 0.896)
Al (0.396, 0.396, 0.396)
Al (0.604, 0.896, 0.104)
Al (0.896, 0.104, 0.604)
Sn (0.166, 0.834, 0.334)
Sn (0.334, 0.166, 0.834)
Sn (0.666, 0.666, 0.666)
Sn (0.834, 0.334, 0.166)
P (0.014, 0.295, 0.867)
P (0.133, 0.514, 0.205)
P (0.205, 0.133, 0.514)
P (0.295, 0.867, 0.014)
P (0.367, 0.486, 0.705)
P (0.486, 0.705, 0.367)
P (0.514, 0.205, 0.133)
P (0.633, 0.986, 0.795)
P (0.705, 0.367, 0.486)
P (0.795, 0.633, 0.986)
P (0.867, 0.014, 0.295)
P (0.986, 0.795, 0.633)
O (0.006, 0.424, 0.238)
O (0.010, 0.447, 0.833)
O (0.044, 0.711, 0.748)
O (0.053, 0.167, 0.510)
O (0.076, 0.762, 0.506)
O (0.093, 0.659, 0.252)
O (0.159, 0.248, 0.907)
O (0.167, 0.510, 0.053)
O (0.211, 0.752, 0.956)
O (0.238, 0.006, 0.424)
O (0.248, 0.456, 0.289)
O (0.248, 0.907, 0.159)
O (0.252, 0.093, 0.659)
O (0.252, 0.544, 0.789)
O (0.262, 0.994, 0.924)
O (0.289, 0.248, 0.456)
O (0.333, 0.490, 0.553)
O (0.341, 0.752, 0.407)
O (0.407, 0.341, 0.752)
O (0.424, 0.238, 0.006)
O (0.447, 0.833, 0.010)
O (0.456, 0.289, 0.248)
O (0.490, 0.553, 0.333)
O (0.494, 0.576, 0.738)
O (0.506, 0.076, 0.762)
O (0.510, 0.053, 0.167)
O (0.544, 0.789, 0.252)
O (0.553, 0.333, 0.490)
O (0.576, 0.738, 0.494)
O (0.593, 0.841, 0.748)
O (0.659, 0.252, 0.093)
O (0.667, 0.990, 0.947)
O (0.711, 0.748, 0.044)
O (0.738, 0.494, 0.576)
O (0.748, 0.044, 0.711)
O (0.748, 0.593, 0.841)
O (0.752, 0.407, 0.341)
O (0.752, 0.956, 0.211)
O (0.762, 0.506, 0.076)
O (0.789, 0.252, 0.544)
O (0.833, 0.010, 0.447)
O (0.841, 0.748, 0.593)
O (0.907, 0.159, 0.248)
O (0.924, 0.262, 0.994)
O (0.947, 0.667, 0.990)
O (0.956, 0.211, 0.752)
O (0.990, 0.947, 0.667)
O (0.994, 0.924, 0.262)

---

No. 5
Below is K2AlPtO at its PBEsol-relaxed geometry, with properties calculated at the SCAN level.

Computed properties:
As for the symmetry: No. 123. For the density of states at the Fermi level, the calculation gives 1.435 states/eV/f.u. The total moment is 0.0 μB per formula unit. The value obtained for the formation energy without anion corrections is -30.05 kJ/mol of atoms. Its mass density is 3.93 g cm⁻³.

a = 6.260 Å, b = 6.260 Å, c = 3.411 Å
α = 90.00°, β = 90.00°, γ = 90.00°
Positions (direct):
K (0.000, 0.500, 0.000)
K (0.500, 0.000, 0.000)
Al (0.000, 0.000, 0.000)
Pt (0.500, 0.500, 0.500)
O (0.000, 0.000, 0.500)

---

No. 6
Below is KAl2Os at its PBEsol-relaxed geometry, with properties calculated at the SCAN level.

Computed properties:
As for the distance to the lowest polymorph of the same formula: 0 meV per atom. As for the symmetry: No. 6. For the density of states at the Fermi level, the calculation gives 1.436 states/eV/f.u. The total moment is 0.2 μB per formula unit. The value obtained for the formation energy is 62 meV/atom. Its mass density is 5.09 g cm⁻³.

a = 2.896 Å, b = 4.101 Å, c = 7.780 Å
α = 90.00°, β = 90.14°, γ = 90.00°
Positions (direct):
K (0.000, 0.000, 0.000)
Al (0.500, 0.000, 0.394)
Al (0.502, 0.500, 0.660)
Os (0.000, 0.500, 0.396)